DFT (PBE+U) results for a relaxed structure of AlCrCO.

Cell lengths 3.163, 3.169, 10.098 Å; angles 80.94, 80.87, 59.87 degrees
Atoms (fractional coordinates):
Al: 0.738 0.737 0.787
C: 0.621 0.622 0.135
C: 0.379 0.378 0.865
O: 0.802 0.799 0.600
Cr: 0.500 0.500 0.500
O: 0.198 0.200 0.400
Al: 0.262 0.263 0.213
Cr: 0.000 0.000 0.000

Summary:
magnetic moment: 6.0 μB per cell
final energy: -7.218 eV per atom